# 1
This record from the Alexandria database describes ThCdPb3 after structural relaxation. The functional is PBE-GGA.

- formation energy (kJ/mol of formula units) = -27
- electronic total energy (eV per atom) = -3.948
- SG = No. 1
- N(E_F) (states/eV/cell) = 3.097

```
5
Lattice="3.575 0.000 0.000 -0.012 4.857 0.000 -0.018 -2.412 8.473" Properties=species:S:1:pos:R:3 pbc="T T T"
Th 0.000 0.000 0.000
Cd 2.213 2.437 5.086
Pb 0.380 -0.012 3.634
Pb 1.703 0.016 6.926
Pb 1.891 2.426 1.808
```

***

# 2
This record from the Alexandria database describes ThCdPb2 after structural relaxation. The functional is PBE-GGA.

- formation energy (kJ/mol of formula units) = -19
- electronic total energy (eV per atom) = -3.987
- SG = No. 123
- energy above the most stable polymorph in this dataset (meV per atom) = 196
- N(E_F) (states/eV/cell) = 3.030

```
4
Lattice="3.999 0.000 0.000 0.000 3.999 0.000 0.000 0.000 7.186" Properties=species:S:1:pos:R:3 pbc="T T T"
Th 0.000 0.000 0.000
Cd 0.000 0.000 3.593
Pb 1.999 1.999 1.965
Pb 1.999 1.999 5.220
```

***

Number 2 is which compound?
ThCdPb2

***

The lowest N(E_F) belongs to which entry?
ThCdPb2